*a*
# LiIrI2N

An optimized crystal structure of LiIrI2N (PBE, the Alexandria database).

Cell lengths 5.1507, 5.1507, 3.4605 Å; angles 90.00, 90.00, 90.00 degrees
Fractional positions:
I 0.0000 0.5000 0.0000
I 0.5000 0.0000 0.0000
Ir 0.5000 0.5000 0.5000
Li 0.0000 0.0000 0.0000
N 0.0000 0.0000 0.5000

## Properties
Crystal system = tetragonal
Space group = P4/mmm

***

*b*
# LiIrI2N

An optimized crystal structure of LiIrI2N (PBE, the Alexandria database).

Cell lengths 5.7206, 5.7206, 3.7346 Å; angles 90.00, 90.00, 90.00 degrees
Fractional positions:
I 0.0000 0.5000 0.0000
I 0.5000 0.0000 0.0000
Ir 0.0000 0.0000 0.0000
Li 0.5000 0.5000 0.5000
N 0.0000 0.0000 0.5000

## Properties
Crystal system = tetragonal
Space group = P4/mmm

***

Tell me which of them is the most stable. Sure, it is *b*.

***

*a*
# LiIrIO2

An optimized crystal structure of LiIrIO2 (PBE, the Alexandria database).

Cell lengths 3.7817, 3.7817, 5.1792 Å; angles 90.00, 90.00, 90.00 degrees
Fractional positions:
I 0.0000 0.0000 0.5000
Ir 0.5000 0.5000 0.5000
O 0.0000 0.5000 0.0000
O 0.5000 0.0000 0.0000
Li 0.0000 0.0000 0.0000

## Properties
Crystal system = tetragonal
Space group = P4/mmm

***

*b*
# LiIrIO2

An optimized crystal structure of LiIrIO2 (PBE, the Alexandria database).

Cell lengths 3.7607, 3.7607, 8.5308 Å; angles 90.00, 90.00, 90.00 degrees
Site moments in Bohr magnetons follow the coordinates.
Fractional positions:
I 0.0000 0.0000 0.5000  0.00
Ir 0.0000 0.0000 0.0000  0.26
O 0.0000 0.5000 0.0000  0.08
O 0.5000 0.0000 0.0000  0.08
Li 0.5000 0.5000 0.5000  0.00

## Properties
Crystal system = tetragonal
Space group = P4/mmm

***

Tell me which of them is the most stable. Sure, it is *b*.

***

*a*
# MgIrI

An optimized crystal structure of MgIrI (PBE, the Alexandria database).

Cell lengths 4.1163, 4.1161, 11.7861 Å; angles 80.14, 89.33, 117.67 degrees
Fractional positions:
I 0.8218 0.3327 0.5674
I 0.6114 0.9259 0.2022
Mg 0.0021 0.6837 0.0511
Mg 0.1120 0.8966 0.7185
Ir 0.3854 0.4642 0.8848
Ir 0.7356 0.1141 0.8848

## Properties
Crystal system = triclinic
Space group = P1

***

*b*
# MgIrI

An optimized crystal structure of MgIrI (PBE, the Alexandria database).

Cell lengths 4.4754, 4.4754, 7.6095 Å; angles 90.00, 90.00, 120.00 degrees
Fractional positions:
I 0.3333 0.6667 0.2500
I 0.6667 0.3333 0.7500
Mg 0.0000 0.0000 0.0000
Mg 0.0000 0.0000 0.5000
Ir 0.3333 0.6667 0.7500
Ir 0.6667 0.3333 0.2500

## Properties
Crystal system = hexagonal
Space group = P6_3/mmc

***

*c*
# MgIrI

An optimized crystal structure of MgIrI (PBE, the Alexandria database).

Cell lengths 4.5175, 4.5175, 4.5175 Å; angles 60.00, 60.00, 60.00 degrees
Fractional positions:
I 0.2500 0.2500 0.2500
Mg 0.7500 0.7500 0.7500
Ir 0.5000 0.5000 0.5000

## Properties
Crystal system = cubic
Space group = F-43m

***

*d*
# MgIrI

An optimized crystal structure of MgIrI (PBE, the Alexandria database).

Cell lengths 3.9276, 4.3299, 10.0603 Å; angles 90.00, 90.00, 116.97 degrees
Fractional positions:
Mg 0.4770 0.9540 0.0000
Mg 0.4027 0.8054 0.5000
Ir 0.7096 0.4193 0.3790
Ir 0.7096 0.4193 0.6210
I 0.1838 0.3676 0.8017
I 0.1838 0.3676 0.1983

## Properties
Crystal system = orthorhombic
Space group = Amm2

***

Tell me which of them is the most stable. Sure, it is *a*.

***

*a*
# MgIrI

An optimized crystal structure of MgIrI (PBE, the Alexandria database).

Cell lengths 4.1228, 4.1236, 11.4679 Å; angles 89.33, 90.68, 117.75 degrees
Fractional positions:
I 0.8463 0.8479 0.5683
I 0.1898 0.5043 0.2013
Mg 0.5242 0.1694 0.0507
Mg 0.5116 0.1830 0.7189
Ir 0.1927 0.5019 0.8833
Ir 0.8437 0.8510 0.8863

## Properties
Crystal system = monoclinic
Space group = C2/m

***

*b*
# MgIrI

An optimized crystal structure of MgIrI (PBE, the Alexandria database).

Cell lengths 7.8989, 3.9812, 8.5134 Å; angles 90.00, 90.00, 90.00 degrees
Fractional positions:
I 0.8352 0.2500 0.3980
I 0.6648 0.7500 0.8980
I 0.1648 0.7500 0.6020
I 0.3352 0.2500 0.1020
Mg 0.9995 0.2500 0.8670
Mg 0.5005 0.7500 0.3670
Mg 0.0005 0.7500 0.1330
Mg 0.4995 0.2500 0.6330
Ir 0.2652 0.2500 0.3990
Ir 0.2348 0.7500 0.8990
Ir 0.7348 0.7500 0.6010
Ir 0.7652 0.2500 0.1010

## Properties
Crystal system = orthorhombic
Space group = Pnma

***

*c*
# MgIrI

An optimized crystal structure of MgIrI (PBE, the Alexandria database).

Cell lengths 3.8236, 4.1998, 10.2051 Å; angles 78.14, 89.98, 90.00 degrees
Site moments in Bohr magnetons follow the coordinates.
Fractional positions:
I 0.3623 0.3879 0.5810  0.01
I 0.8618 0.0845 0.1885  0.01
Mg 0.8607 0.6824 0.9924  0.00
Mg 0.3609 0.7899 0.7772  0.00
Ir 0.8613 0.2797 0.7977  0.16
Ir 0.3612 0.1927 0.9720  0.16

## Properties
Crystal system = orthorhombic
Space group = Cmc2_1

***

Tell me which of them is the most stable. Sure, it is *a*.